The following is a DFT calculation (PBE) of crystalline Pm12Tm5In3 at its relaxed geometry.

E	-3.656	eV per atom
calculated volume	6370	Å³ per cell
ΔH_f (0 K)	0.7234	eV/atom
calculated density	6.11	g cm⁻³
total moment	0.015	μB/f.u.
density of states at the Fermi level	264.26	states/eV per cell

CIF file:
```
data_Pm12Tm5In3
_chemical_formula_sum 'Pm96 Tm40 In24'
_space_group_name_H-M_alt 'I a -3 d'
_space_group_IT_number 230
_space_group_name_Hall '-I 4bd 2c 3'
_cell_length_a 18.537
_cell_length_b 18.537
_cell_length_c 18.537
_cell_angle_alpha 90.00
_cell_angle_beta 90.00
_cell_angle_gamma 90.00
loop_
_atom_site_label
_atom_site_type_symbol
_atom_site_fract_x
_atom_site_fract_y
_atom_site_fract_z
_atom_site_occupancy
Pm1 Pm 0.006 0.079 0.652 1
Tm1 Tm 0.000 0.000 0.000 1
Tm2 Tm 0.000 0.250 0.375 1
In1 In 0.000 0.250 0.125 1
```